--- A ---
The following is a PBE calculation of a relaxed KGaS2Cl crystal, from Alexandria.

Summary:
As for the density of states at the Fermi level: 1.21 states/eV per atom.

a b c (Å): 5.8463 5.8463 5.7529
angles (deg): 90.00 90.00 90.00
Space group P4/mmm (No. 123)
Inequivalent atoms, fractional coordinates:
K: 0.0000 0.0000 0.0000 (multiplicity 1)
Ga: 0.5000 0.5000 0.5000 (multiplicity 1)
S: 0.0000 0.5000 0.0000 (multiplicity 2)
Cl: 0.0000 0.0000 0.5000 (multiplicity 1)

=====

--- B ---
The following is a PBE calculation of a relaxed KGaS2Cl crystal, from Alexandria.

Summary:
As for the density of states at the Fermi level: 0.69 states/eV per atom.

a b c (Å): 4.7090 4.7090 5.4552
angles (deg): 90.00 90.00 90.00
Space group P4/mmm (No. 123)
Inequivalent atoms, fractional coordinates:
K: 0.0000 0.0000 0.0000 (multiplicity 1)
Ga: 0.5000 0.5000 0.5000 (multiplicity 1)
S: 0.0000 0.5000 0.5000 (multiplicity 2)
Cl: 0.5000 0.5000 0.0000 (multiplicity 1)

=====

Which structure above is the least stable one? A is the least stable one.